DFT (PBE) results for crystalline Tl2SiNi at its relaxed geometry.

## Properties
energy relative to the lowest polymorph listed for this composition = 541 meV per atom
crystal system = tetragonal
formation energy from raw total energies = 614.9 meV/atom
E = -13.477 eV/cell
DOS(E_F) = 0.802 states/eV per atom

Cell: 5.467 5.467 5.467 Å, 134.33 134.33 66.57°
Sites, in units of the cell vectors:
Ni 0.500 0.500 0.000
Si 0.750 0.250 0.500
Tl 0.000 0.000 0.000
Tl 0.250 0.750 0.500